A.
Ce2PrTh | PBE | relaxed

Properties
SG: R3m
Density of states at the Fermi level: 10.15 states/eV per cell

Structure (extended XYZ):
```
4
Lattice="1.755 1.013 11.688 -1.755 1.013 11.688 0.000 -2.026 11.688" Properties=species:S:1:pos:R:3 pbc="T T T"
Ce 0.000 0.000 0.000
Ce 0.000 0.000 5.708
Pr 0.000 0.000 20.427
Th 0.000 0.000 14.538
```


B.
Ce2PrTh | PBE | relaxed

Properties
SG: P4/mmm
Density of states at the Fermi level: 8.72 states/eV per cell

Structure (extended XYZ):
```
4
Lattice="3.498 0.000 0.000 0.000 3.498 0.000 0.000 0.000 10.062" Properties=species:S:1:pos:R:3 pbc="T T T"
Ce 0.000 0.000 2.380
Ce 0.000 0.000 7.682
Pr 1.749 1.749 5.031
Th 1.749 1.749 0.000
```


C.
Ce2PrTh | PBE | relaxed

Properties
SG: P4/mmm
Density of states at the Fermi level: 9.29 states/eV per cell

Structure (extended XYZ):
```
4
Lattice="4.937 0.000 0.000 0.000 4.937 0.000 0.000 0.000 4.987" Properties=species:S:1:pos:R:3 pbc="T T T"
Ce 0.000 2.468 0.000
Ce 2.468 0.000 0.000
Pr 0.000 0.000 2.493
Th 2.468 2.468 2.493
```


B is favored, and the nearest alternative lies 0.042 eV/atom above it.